1.
! CrFeSb4 (GGA-PBE, relaxed); values from VASP
! Energy above the most stable polymorph in this dataset in eV per atom: 0.904
! Formation energy without anion corrections in eV per atom: 0.939
&SYSTEM
  ibrav = 0, nat = 6, ntyp = 3
/
ATOMIC_SPECIES
Cr 52.00 Cr.upf
Fe 55.84 Fe.upf
Sb 121.76 Sb.upf
ATOMIC_POSITIONS crystal
Cr 0.000 0.000 0.000
Fe 0.750 0.750 0.750
Sb 0.375 0.375 0.375
Sb 0.375 0.375 0.875
Sb 0.375 0.875 0.375
Sb 0.875 0.375 0.375
CELL_PARAMETERS angstrom
0.000 4.314 4.314
4.314 0.000 4.314
4.314 4.314 0.000

=====

2.
! Zr6AuC (GGA-PBE, relaxed); values from VASP
! ΔH_f (0 K) in meV/atom: -276
&SYSTEM
  ibrav = 0, nat = 8, ntyp = 3
/
ATOMIC_SPECIES
Zr 91.22 Zr.upf
Au 196.97 Au.upf
C 12.01 C.upf
ATOMIC_POSITIONS crystal
Zr 0.074 0.272 0.164
Zr 0.236 0.831 0.440
Zr 0.341 0.391 0.744
Zr 0.659 0.609 0.256
Zr 0.764 0.169 0.560
Zr 0.926 0.728 0.836
Au 0.500 0.000 0.000
C 0.000 0.500 0.500
CELL_PARAMETERS angstrom
5.431 0.000 0.000
-0.717 5.614 0.000
-1.410 -1.156 5.388

=====

3.
! Sm2TlGa2 (GGA-PBE, relaxed); values from VASP
! Energy above the most stable polymorph in this dataset in eV per atom: 0.004
! ΔH_f (0 K) in meV/atom: -539
&SYSTEM
  ibrav = 0, nat = 10, ntyp = 3
/
ATOMIC_SPECIES
Sm 150.36 Sm.upf
Tl 204.38 Tl.upf
Ga 69.72 Ga.upf
ATOMIC_POSITIONS crystal
Sm 0.173 0.327 0.000
Sm 0.327 0.827 0.000
Sm 0.673 0.173 0.000
Sm 0.827 0.673 0.000
Tl 0.000 0.000 0.500
Tl 0.500 0.500 0.500
Ga 0.123 0.623 0.500
Ga 0.377 0.123 0.500
Ga 0.623 0.877 0.500
Ga 0.877 0.377 0.500
CELL_PARAMETERS angstrom
7.439 0.000 0.000
0.000 7.439 0.000
0.000 0.000 4.479

=====

4.
! PmBeCl6 (GGA-PBE, relaxed); values from VASP
! Formation energy without anion corrections in eV per atom: -1.351
&SYSTEM
  ibrav = 0, nat = 8, ntyp = 3
/
ATOMIC_SPECIES
Pm 145.00 Pm.upf
Be 9.01 Be.upf
Cl 35.45 Cl.upf
ATOMIC_POSITIONS crystal
Pm 0.000 0.000 0.000
Be 0.500 0.500 0.500
Cl 0.128 0.720 0.725
Cl 0.284 0.573 0.273
Cl 0.424 0.130 0.727
Cl 0.576 0.870 0.273
Cl 0.716 0.427 0.727
Cl 0.872 0.280 0.275
CELL_PARAMETERS angstrom
6.297 0.000 0.000
3.144 5.471 0.000
3.108 1.829 5.808

=====

5.
! Pr3Nd2Pd2 (GGA-PBE, relaxed); values from VASP
! ΔH_f (0 K) in meV/atom: -437
&SYSTEM
  ibrav = 0, nat = 7, ntyp = 3
/
ATOMIC_SPECIES
Pr 140.91 Pr.upf
Nd 144.24 Nd.upf
Pd 106.42 Pd.upf
ATOMIC_POSITIONS crystal
Pr 0.000 0.000 0.000
Pr 0.116 0.116 0.440
Pr 0.884 0.884 0.560
Nd 0.341 0.341 0.189
Nd 0.659 0.659 0.811
Pd 0.334 0.334 0.772
Pd 0.666 0.666 0.228
CELL_PARAMETERS angstrom
6.327 -1.957 0.000
6.327 1.957 0.000
-3.945 0.000 8.452

=====

6.
! Na2CdCl (GGA-PBE, relaxed); values from VASP
! Energy above the most stable polymorph in this dataset in eV per atom: 0.000
! Formation energy without anion corrections in eV per atom: -0.827
&SYSTEM
  ibrav = 0, nat = 4, ntyp = 3
/
ATOMIC_SPECIES
Na 22.99 Na.upf
Cd 112.41 Cd.upf
Cl 35.45 Cl.upf
ATOMIC_POSITIONS crystal
Na 0.233 0.233 0.233
Na 0.767 0.767 0.767
Cd 0.000 0.000 0.000
Cl 0.500 0.500 0.500
CELL_PARAMETERS angstrom
1.869 1.079 8.804
-1.869 1.079 8.804
0.000 -2.158 8.804

=====

7.
! Sr12N5F3 (GGA-PBE, relaxed); values from VASP
! Formation energy without anion corrections in eV per atom: -0.918
&SYSTEM
  ibrav = 0, nat = 80, ntyp = 3
/
ATOMIC_SPECIES
Sr 87.62 Sr.upf
N 14.01 N.upf
F 19.00 F.upf
ATOMIC_POSITIONS crystal
Sr 0.018 0.197 0.126
Sr 0.018 0.321 0.892
Sr 0.071 0.697 0.679
Sr 0.071 0.874 0.392
Sr 0.108 0.626 0.429
Sr 0.108 0.982 0.679
Sr 0.126 0.018 0.197
Sr 0.126 0.608 0.929
Sr 0.179 0.197 0.571
Sr 0.179 0.482 0.608
Sr 0.197 0.126 0.018
Sr 0.197 0.571 0.179
Sr 0.303 0.321 0.929
Sr 0.303 0.482 0.374
Sr 0.321 0.892 0.018
Sr 0.321 0.929 0.303
Sr 0.374 0.303 0.482
Sr 0.374 0.571 0.892
Sr 0.392 0.071 0.874
Sr 0.392 0.821 0.518
Sr 0.429 0.108 0.626
Sr 0.429 0.821 0.803
Sr 0.482 0.374 0.303
Sr 0.482 0.608 0.179
Sr 0.518 0.392 0.821
Sr 0.518 0.626 0.697
Sr 0.571 0.179 0.197
Sr 0.571 0.892 0.374
Sr 0.608 0.179 0.482
Sr 0.608 0.929 0.126
Sr 0.626 0.429 0.108
Sr 0.626 0.697 0.518
Sr 0.679 0.071 0.697
Sr 0.679 0.108 0.982
Sr 0.697 0.518 0.626
Sr 0.697 0.679 0.071
Sr 0.803 0.429 0.821
Sr 0.803 0.874 0.982
Sr 0.821 0.518 0.392
Sr 0.821 0.803 0.429
Sr 0.874 0.392 0.071
Sr 0.874 0.982 0.803
Sr 0.892 0.018 0.321
Sr 0.892 0.374 0.571
Sr 0.929 0.126 0.608
Sr 0.929 0.303 0.321
Sr 0.982 0.679 0.108
Sr 0.982 0.803 0.874
N 0.000 0.000 0.000
N 0.000 0.000 0.500
N 0.000 0.500 0.000
N 0.000 0.500 0.500
N 0.125 0.750 0.875
N 0.125 0.875 0.250
N 0.250 0.125 0.875
N 0.250 0.625 0.375
N 0.375 0.250 0.625
N 0.375 0.625 0.750
N 0.500 0.000 0.000
N 0.500 0.000 0.500
N 0.500 0.500 0.000
N 0.500 0.500 0.500
N 0.625 0.375 0.250
N 0.625 0.750 0.375
N 0.750 0.375 0.625
N 0.750 0.875 0.125
N 0.875 0.125 0.750
N 0.875 0.250 0.125
F 0.125 0.250 0.375
F 0.125 0.375 0.750
F 0.250 0.375 0.125
F 0.250 0.875 0.625
F 0.375 0.125 0.250
F 0.375 0.750 0.125
F 0.625 0.250 0.875
F 0.625 0.875 0.750
F 0.750 0.125 0.375
F 0.750 0.625 0.875
F 0.875 0.625 0.250
F 0.875 0.750 0.625
CELL_PARAMETERS angstrom
-8.248 8.248 8.248
8.248 -8.248 8.248
8.248 8.248 -8.248

=====

8.
! Ho2TcTe (GGA-PBE, relaxed); values from VASP
! Energy above the most stable polymorph in this dataset in eV per atom: 0.829
! Formation energy without anion corrections in eV per atom: 0.318
&SYSTEM
  ibrav = 0, nat = 4, ntyp = 3
/
ATOMIC_SPECIES
Ho 164.93 Ho.upf
Tc 98.00 Tc.upf
Te 127.60 Te.upf
ATOMIC_POSITIONS crystal
Ho 0.090 0.090 0.090
Ho 0.910 0.910 0.910
Tc 0.000 0.000 0.000
Te 0.500 0.500 0.500
CELL_PARAMETERS angstrom
1.870 1.080 9.239
-1.870 1.080 9.239
0.000 -2.159 9.239

=====

9.
! AlGeSe3 (GGA-PBE, relaxed); values from VASP
! Formation energy without anion corrections in eV per atom: -0.323
&SYSTEM
  ibrav = 0, nat = 10, ntyp = 3
/
ATOMIC_SPECIES
Al 26.98 Al.upf
Ge 72.64 Ge.upf
Se 78.96 Se.upf
ATOMIC_POSITIONS crystal
Al 0.067 0.250 0.317
Al 0.933 0.750 0.683
Ge 0.328 0.189 0.640
Ge 0.549 0.689 0.360
Se 0.156 0.094 0.810
Se 0.156 0.846 0.562
Se 0.284 0.346 0.190
Se 0.284 0.594 0.438
Se 0.617 0.952 0.165
Se 0.787 0.452 0.835
CELL_PARAMETERS angstrom
-7.499 4.038 3.381
7.499 -4.038 3.381
7.499 4.038 -3.381

=====

10.
! Er12Tm3Mg (GGA-PBE, relaxed); values from VASP
! ΔH_f (0 K) in meV/atom: 24
&SYSTEM
  ibrav = 0, nat = 16, ntyp = 3
/
ATOMIC_SPECIES
Er 167.26 Er.upf
Tm 168.93 Tm.upf
Mg 24.30 Mg.upf
ATOMIC_POSITIONS crystal
Er 0.000 0.000 0.000
Er 0.000 0.000 0.246
Er 0.000 0.000 0.500
Er 0.000 0.000 0.754
Er 0.000 0.500 0.124
Er 0.000 0.500 0.374
Er 0.000 0.500 0.626
Er 0.000 0.500 0.876
Er 0.500 0.000 0.124
Er 0.500 0.000 0.374
Er 0.500 0.000 0.626
Er 0.500 0.000 0.876
Tm 0.500 0.500 0.249
Tm 0.500 0.500 0.500
Tm 0.500 0.500 0.751
Mg 0.500 0.500 0.000
CELL_PARAMETERS angstrom
4.929 0.000 0.000
0.000 4.929 0.000
0.000 0.000 19.772

=====

11.
! BPdW3 (GGA-PBE, relaxed); values from VASP
! Energy above the most stable polymorph in this dataset in eV per atom: 0.000
! ΔH_f (0 K) in meV/atom: 248
&SYSTEM
  ibrav = 0, nat = 5, ntyp = 3
/
ATOMIC_SPECIES
B 10.81 B.upf
Pd 106.42 Pd.upf
W 183.84 W.upf
ATOMIC_POSITIONS crystal
B 0.000 0.000 0.000
Pd 0.500 0.500 0.500
W 0.000 0.000 0.500
W 0.000 0.500 0.000
W 0.500 0.000 0.000
CELL_PARAMETERS angstrom
4.186 0.000 0.000
0.000 4.186 0.000
0.000 0.000 4.186

=====

12.
! Pm4Tm9Tl11 (GGA-PBE, relaxed); values from VASP
! ΔH_f (0 K) in meV/atom: -242
&SYSTEM
  ibrav = 0, nat = 24, ntyp = 3
/
ATOMIC_SPECIES
Pm 145.00 Pm.upf
Tm 168.93 Tm.upf
Tl 204.38 Tl.upf
ATOMIC_POSITIONS crystal
Pm 0.088 0.250 0.000
Pm 0.250 0.088 0.000
Pm 0.750 0.912 0.000
Pm 0.912 0.750 0.000
Tm 0.000 0.000 0.000
Tm 0.113 0.661 0.000
Tm 0.297 0.488 0.000
Tm 0.339 0.887 0.000
Tm 0.488 0.297 0.000
Tm 0.512 0.703 0.000
Tm 0.661 0.113 0.000
Tm 0.703 0.512 0.000
Tm 0.887 0.339 0.000
Tl 0.091 0.455 0.500
Tl 0.125 0.875 0.500
Tl 0.296 0.296 0.500
Tl 0.312 0.688 0.500
Tl 0.455 0.091 0.500
Tl 0.500 0.500 0.500
Tl 0.545 0.909 0.500
Tl 0.688 0.312 0.500
Tl 0.704 0.704 0.500
Tl 0.875 0.125 0.500
Tl 0.909 0.545 0.500
CELL_PARAMETERS angstrom
8.099 -11.514 0.000
8.099 11.514 0.000
0.000 0.000 3.553

=====

13.
! CsAc2Re2N6 (GGA-PBE, relaxed); values from VASP
! Formation energy without anion corrections in eV per atom: -0.565
&SYSTEM
  ibrav = 0, nat = 11, ntyp = 4
/
ATOMIC_SPECIES
Cs 132.91 Cs.upf
Ac 227.00 Ac.upf
Re 186.21 Re.upf
N 14.01 N.upf
ATOMIC_POSITIONS crystal
Cs 0.000 0.000 0.000
Ac 0.320 0.320 0.717
Ac 0.680 0.680 0.283
Re 0.384 0.384 0.321
Re 0.616 0.616 0.679
N 0.101 0.503 0.337
N 0.425 0.425 0.110
N 0.497 0.899 0.663
N 0.503 0.101 0.337
N 0.575 0.575 0.890
N 0.899 0.497 0.663
CELL_PARAMETERS angstrom
5.887 -3.650 0.000
5.887 3.650 0.000
-3.822 0.000 6.289

=====

14.
! Mg2Mo (GGA-PBE, relaxed); values from VASP
! Energy above the most stable polymorph in this dataset in eV per atom: 0.199
! ΔH_f (0 K) in meV/atom: 421
&SYSTEM
  ibrav = 0, nat = 6, ntyp = 2
/
ATOMIC_SPECIES
Mg 24.30 Mg.upf
Mo 95.94 Mo.upf
ATOMIC_POSITIONS crystal
Mg 0.169 0.669 0.838
Mg 0.331 0.169 0.500
Mg 0.669 0.831 0.500
Mg 0.831 0.331 0.162
Mo 0.250 0.250 0.000
Mo 0.750 0.750 0.000
CELL_PARAMETERS angstrom
-3.584 3.584 2.461
3.584 -3.584 2.461
3.584 3.584 -2.461

=====

15.
! CdSb2Ir (GGA-PBE, relaxed); values from VASP
! Energy above the most stable polymorph in this dataset in eV per atom: 0.366
! Formation energy without anion corrections in eV per atom: 0.305
&SYSTEM
  ibrav = 0, nat = 4, ntyp = 3
/
ATOMIC_SPECIES
Cd 112.41 Cd.upf
Sb 121.76 Sb.upf
Ir 192.22 Ir.upf
ATOMIC_POSITIONS crystal
Cd 0.000 0.000 0.000
Sb 0.000 0.000 0.500
Sb 0.500 0.500 0.000
Ir 0.500 0.500 0.500
CELL_PARAMETERS angstrom
4.193 0.000 0.000
0.000 3.827 0.000
-1.084 0.000 5.672

=====

16.
! TlSnH (GGA-PBE, relaxed); values from VASP
! Energy above the most stable polymorph in this dataset in eV per atom: 0.000
&SYSTEM
  ibrav = 0, nat = 6, ntyp = 3
/
ATOMIC_SPECIES
Tl 204.38 Tl.upf
Sn 118.71 Sn.upf
H 1.01 H.upf
ATOMIC_POSITIONS crystal
Tl 0.000 0.000 0.000
Tl 0.001 0.002 0.423
Sn 0.333 0.336 0.814
Sn 0.334 0.335 0.609
H 0.329 0.348 0.185
H 0.333 0.335 0.238
CELL_PARAMETERS angstrom
3.445 0.000 0.000
1.722 2.984 0.000
0.015 0.038 14.363

=====

17.
! NaTlAgAu (GGA-PBE, relaxed); values from VASP
! ΔH_f (0 K) in meV/atom: -83
&SYSTEM
  ibrav = 0, nat = 4, ntyp = 4
/
ATOMIC_SPECIES
Na 22.99 Na.upf
Tl 204.38 Tl.upf
Ag 107.87 Ag.upf
Au 196.97 Au.upf
ATOMIC_POSITIONS crystal
Na 0.000 0.000 0.000
Tl 0.750 0.750 0.750
Ag 0.250 0.250 0.250
Au 0.500 0.500 0.500
CELL_PARAMETERS angstrom
0.000 3.494 3.494
3.494 0.000 3.494
3.494 3.494 0.000

=====

18.
! BaCoGePb (GGA-PBE, relaxed); values from VASP
! ΔH_f (0 K) in meV/atom: -284
&SYSTEM
  ibrav = 0, nat = 8, ntyp = 4
/
ATOMIC_SPECIES
Ba 137.33 Ba.upf
Co 58.93 Co.upf
Ge 72.64 Ge.upf
Pb 207.20 Pb.upf
ATOMIC_POSITIONS crystal
Ba 0.250 0.250 0.228
Ba 0.750 0.750 0.772
Co 0.250 0.750 0.000
Co 0.750 0.250 0.000
Ge 0.250 0.250 0.914
Ge 0.750 0.750 0.086
Pb 0.250 0.750 0.500
Pb 0.750 0.250 0.500
CELL_PARAMETERS angstrom
4.316 0.000 0.000
0.000 4.316 0.000
0.000 0.000 11.889

=====

19.
! SnH2Cl8 (GGA-PBE, relaxed); values from VASP
! Energy above the most stable polymorph in this dataset in eV per atom: 0.016
&SYSTEM
  ibrav = 0, nat = 11, ntyp = 3
/
ATOMIC_SPECIES
Sn 118.71 Sn.upf
H 1.01 H.upf
Cl 35.45 Cl.upf
ATOMIC_POSITIONS crystal
Sn 0.000 0.000 0.000
H 0.290 0.687 0.792
H 0.710 0.313 0.208
Cl 0.178 0.132 0.800
Cl 0.213 0.727 0.012
Cl 0.273 0.122 0.309
Cl 0.339 0.632 0.642
Cl 0.661 0.368 0.358
Cl 0.727 0.878 0.691
Cl 0.787 0.273 0.988
Cl 0.822 0.868 0.200
CELL_PARAMETERS angstrom
6.220 0.000 0.000
-0.541 7.282 0.000
-2.606 -0.728 7.428

=====

20.
! La2LuCl (GGA-PBE, relaxed); values from VASP
! Formation energy without anion corrections in eV per atom: -0.668
&SYSTEM
  ibrav = 0, nat = 4, ntyp = 3
/
ATOMIC_SPECIES
La 138.91 La.upf
Lu 174.97 Lu.upf
Cl 35.45 Cl.upf
ATOMIC_POSITIONS crystal
La 0.241 0.241 0.241
La 0.759 0.759 0.759
Lu 0.000 0.000 0.000
Cl 0.500 0.500 0.500
CELL_PARAMETERS angstrom
1.847 1.066 10.530
-1.847 1.066 10.530
0.000 -2.132 10.530